KInTe: relaxed, PBE.

The value obtained for the mass density is 3821 kg/m³. As for the magnetic moment: 0.00 μB per formula unit. The value obtained for the uncorrected formation energy is -0.4247 eV/atom.

The space group is Immm (No. 71) and the conventional cell measures 4.466, 6.127 and 17.889 Å, with angles of 90.00, 90.00 and 90.00 degrees. The asymmetric unit holds K at (0.000, 0.000, 0.162), In at (0.000, 0.263, 0.500) and Te at (0.000, 0.000, 0.359).

=====

Ce3S2Cl: relaxed, PBE.

The value obtained for the mass density is 6294 kg/m³. As for the magnetic moment: 1.76 μB per formula unit. The value obtained for the uncorrected formation energy is -1.8313 eV/atom.

The space group is I4/mmm (No. 139) and the conventional cell measures 4.014, 4.014 and 17.027 Å, with angles of 90.00, 90.00 and 90.00 degrees. The asymmetric unit holds Ce at (0.000, 0.000, 0.000), Ce at (0.000, 0.000, 0.331), S at (0.000, 0.000, 0.166) and Cl at (0.000, 0.000, 0.500).

=====

HgMo2Cl8: relaxed, PBE.

The value obtained for the mass density is 3027 kg/m³. As for the magnetic moment: 1.99 μB per formula unit. The value obtained for the uncorrected formation energy is -0.7021 eV/atom.

The space group is C2/m (No. 12) and the conventional cell measures 14.152, 6.543 and 8.049 Å, with angles of 90.00, 95.59 and 90.00 degrees. The asymmetric unit holds Hg at (0.000, 0.000, 0.000), Mo at (0.249, 0.000, 0.500), Cl at (0.125, 0.249, 0.418), Cl at (0.203, 0.500, 0.765) and Cl at (0.210, 0.000, 0.770).

=====

Mg12Bi5Pb2: relaxed, PBE.

The value obtained for the calculated formation energy is -1.51 eV/f.u. The value obtained for the mass density is 5567 kg/m³. As for the magnetic moment: 0.00 μB per formula unit.

The space group is C2/m (No. 12) and the conventional cell measures 13.137, 9.232 and 8.848 Å, with angles of 90.00, 103.23 and 90.00 degrees. The asymmetric unit holds Mg at (0.042, 0.000, 0.347), Mg at (0.127, 0.297, 0.243), Mg at (0.141, 0.285, 0.850), Mg at (0.195, 0.500, 0.584), Bi at (0.000, 0.500, 0.000), Bi at (0.160, 0.000, 0.091), Bi at (0.191, 0.000, 0.672) and Pb at (0.000, 0.312, 0.500).

=====

Ni2OsCl: relaxed, PBE.

The value obtained for the mass density is 10793 kg/m³. As for the magnetic moment: 1.41 μB per formula unit. The value obtained for the uncorrected formation energy is 0.8808 eV/atom.

The space group is P2/m (No. 10) and the conventional cell measures 4.428, 2.707 and 4.560 Å, with angles of 90.00, 105.10 and 90.00 degrees. The asymmetric unit holds Ni at (0.000, 0.000, 0.000), Ni at (0.500, 0.500, 0.000), Os at (0.000, 0.500, 0.500) and Cl at (0.500, 0.000, 0.500).

=====

Sr2InAu3: relaxed, PBE.

The value obtained for the calculated formation energy is -3.90 eV/f.u. The value obtained for the mass density is 8974 kg/m³. As for the magnetic moment: 0.00 μB per formula unit.

The space group is Fmmm (No. 69) and the conventional cell measures 8.032, 9.723 and 16.700 Å, with angles of 90.00, 90.00 and 90.00 degrees. The asymmetric unit holds Sr at (0.241, 0.000, 0.000), Sr at (0.250, 0.250, 0.250), In at (0.000, 0.000, 0.333), Au at (0.000, 0.000, 0.167) and Au at (0.000, 0.247, 0.416).

=====

Ce2TmIn: relaxed, PBE.

The value obtained for the calculated formation energy is -0.97 eV/f.u. The value obtained for the mass density is 8733 kg/m³. As for the magnetic moment: 0.00 μB per formula unit.

The space group is Cmcm (No. 63) and the conventional cell measures 6.522, 12.528 and 5.250 Å, with angles of 90.00, 90.00 and 90.00 degrees. The asymmetric unit holds Ce at (0.225, 0.057, 0.250), Tm at (0.000, 0.315, 0.250) and In at (0.000, 0.182, 0.750).

=====

Pa2Ga2Au: relaxed, PBE.

The value obtained for the calculated formation energy is -1.70 eV/f.u. The value obtained for the mass density is 12254 kg/m³. As for the magnetic moment: 0.00 μB per formula unit.

The space group is C2/m (No. 12) and the conventional cell measures 10.289, 4.582 and 10.315 Å, with angles of 90.00, 117.13 and 90.00 degrees. The asymmetric unit holds Pa at (0.008, 0.000, 0.327), Pa at (0.154, 0.000, 0.085), Ga at (0.040, 0.500, 0.883), Ga at (0.139, 0.500, 0.573) and Au at (0.220, 0.500, 0.344).